# KZr2Pb (PBE-GGA, relaxed)
# Total magnetization: 0.00 μB per cell
# E: -5.122 eV/atom
# Volume: 31.6 Å³ per atom
# ΔE_f: 0.353 eV/atom
data_KZr2Pb
_chemical_formula_sum 'K2 Zr4 Pb2'
_cell_length_a 10.245
_cell_length_b 3.182
_cell_length_c 7.764
_cell_angle_alpha 90.00
_cell_angle_beta 94.08
_cell_angle_gamma 90.00
_symmetry_space_group_name_H-M 'C 1 m 1'
_symmetry_Int_Tables_number 8
loop_
_symmetry_equiv_pos_as_xyz
'x,y,z'
'x,-y,z'
'x+1/2,y+1/2,z'
'x+1/2,-y+1/2,z'
loop_
_atom_site_label
_atom_site_type_symbol
_atom_site_fract_x
_atom_site_fract_y
_atom_site_fract_z
K1 K 0.000 0.000 0.000
Zr1 Zr 0.227 0.000 0.644
Zr2 Zr 0.495 0.000 0.521
Pb1 Pb 0.251 0.500 0.297

# BaYNF2 (PBE-GGA, relaxed)
# Total magnetization: 0.33 μB per cell
# E: -5.308 eV/atom
# Raw formation energy: -1.217 eV/atom
# Volume: 23.7 Å³ per atom
data_BaYNF2
_chemical_formula_sum 'Ba1 Y1 N1 F2'
_cell_length_a 4.728
_cell_length_b 4.728
_cell_length_c 5.299
_cell_angle_alpha 90.00
_cell_angle_beta 90.00
_cell_angle_gamma 90.00
_symmetry_space_group_name_H-M 'P 4/m m m'
_symmetry_Int_Tables_number 123
_symmetry_space_group_name_Hall '-P 4 2'
loop_
_atom_site_label
_atom_site_type_symbol
_atom_site_fract_x
_atom_site_fract_y
_atom_site_fract_z
Ba1 Ba 0.000 0.000 0.000
Y1 Y 0.500 0.500 0.500
N1 N 0.000 0.000 0.500
F1 F 0.000 0.500 0.000

# LaAgSn2 (PBE-GGA, relaxed)
# Total magnetization: 0.00 μB per cell
# E: -4.189 eV/atom
# Volume: 30.6 Å³ per atom
# ΔE_f: -0.243 eV/atom
data_LaAgSn2
_chemical_formula_sum 'La4 Ag4 Sn8'
_cell_length_a 4.958
_cell_length_b 4.958
_cell_length_c 19.937
_cell_angle_alpha 90.00
_cell_angle_beta 90.00
_cell_angle_gamma 90.00
_symmetry_space_group_name_H-M 'I -4 2 d'
_symmetry_Int_Tables_number 122
_symmetry_space_group_name_Hall 'I -4 2bw'
loop_
_atom_site_label
_atom_site_type_symbol
_atom_site_fract_x
_atom_site_fract_y
_atom_site_fract_z
La1 La 0.000 0.000 0.000
Ag1 Ag 0.000 0.000 0.500
Sn1 Sn 0.171 0.250 0.625